Crystalline PuAl2Ga at its relaxed geometry. Source: the Alexandria database, functional GGA-PBE.

Structure (CIF):
```
data_PuAl2Ga
_cell_length_a 2.8813
_cell_length_b 22.9842
_cell_length_c 4.6342
_cell_angle_alpha 90.00
_cell_angle_beta 90.00
_cell_angle_gamma 90.00
_symmetry_space_group_name_H-M 'C m c m'
_symmetry_Int_Tables_number 63
_symmetry_space_group_name_Hall '-C 2c 2'
loop_
_atom_site_label
_atom_site_type_symbol
_atom_site_fract_x
_atom_site_fract_y
_atom_site_fract_z
Pu1 Pu 0.0000 0.0983 0.2500
Al1 Al 0.0000 0.2745 0.7500
Al2 Al 0.0000 0.4706 0.2500
Ga1 Ga 0.0000 0.3350 0.2500
```

Results
calculated total energy	-102.73	eV per cell
calculated density	8.0	Mg/m³